First-principles (PBE-GGA) data for Ba2NaLi after structural relaxation, as listed in Alexandria via LeMat-Bulk.

Cell lengths 4.092, 4.092, 14.088 Å; angles 81.65, 81.65, 60.00 degrees
Sites, in units of the cell vectors:
1 Ba 0.914 0.914 0.258
2 Ba 0.086 0.086 0.742
3 Na 0.500 0.500 0.500
4 Li 0.000 0.000 0.000

Computed properties:
final energy = -1.523 eV/atom
N(E_F) = 4.2 states/eV/cell

---

First-principles (PBE-GGA) data for Ba3Na5Li2 after structural relaxation, as listed in Alexandria via LeMat-Bulk.

Cell lengths 7.714, 11.294, 11.294 Å; angles 81.51, 70.03, 70.03 degrees
Sites, in units of the cell vectors:
1 Na 0.500 0.250 0.250
2 Na 0.500 0.750 0.750
3 Na 0.629 0.226 0.515
4 Na 0.371 0.774 0.485
5 Na 0.000 0.250 0.250
6 Na 0.871 0.485 0.774
7 Na 0.129 0.515 0.226
8 Na 0.250 0.500 0.500
9 Na 0.750 0.500 0.500
10 Na 0.000 0.750 0.750
11 Ba 0.884 0.867 0.366
12 Ba 0.384 0.366 0.867
13 Ba 0.616 0.634 0.133
14 Ba 0.250 0.000 0.000
15 Ba 0.750 0.000 0.000
16 Ba 0.116 0.133 0.634
17 Li 0.357 0.994 0.293
18 Li 0.143 0.707 0.006
19 Li 0.643 0.006 0.707
20 Li 0.857 0.293 0.994

Computed properties:
final energy = -1.553 eV/atom
N(E_F) = 15.8 states/eV/cell

---

First-principles (PBE-GGA) data for BaNa3Li3 after structural relaxation, as listed in Alexandria via LeMat-Bulk.

Cell lengths 8.115, 8.115, 8.115 Å; angles 90.00, 90.00, 90.00 degrees
Sites, in units of the cell vectors:
1 Li 0.500 0.000 0.750
2 Li 0.000 0.750 0.500
3 Li 0.250 0.500 0.000
4 Li 0.000 0.250 0.500
5 Li 0.500 0.000 0.250
6 Li 0.750 0.500 0.000
7 Na 0.500 0.250 0.000
8 Na 0.750 0.000 0.500
9 Na 0.250 0.000 0.500
10 Na 0.500 0.750 0.000
11 Na 0.000 0.500 0.750
12 Na 0.000 0.500 0.250
13 Ba 0.500 0.500 0.500
14 Ba 0.000 0.000 0.000

Computed properties:
final energy = -1.415 eV/atom
N(E_F) = 10.3 states/eV/cell

---

First-principles (PBE-GGA) data for Ba8Na2Li after structural relaxation, as listed in Alexandria via LeMat-Bulk.

Cell lengths 6.606, 8.687, 11.604 Å; angles 107.32, 106.54, 90.00 degrees
Sites, in units of the cell vectors:
1 Li 0.500 0.000 0.000
2 Ba 0.801 0.704 0.603
3 Ba 0.020 0.782 0.039
4 Ba 0.655 0.965 0.310
5 Ba 0.409 0.562 0.818
6 Ba 0.199 0.296 0.397
7 Ba 0.980 0.218 0.961
8 Ba 0.591 0.438 0.182
9 Ba 0.345 0.035 0.690
10 Na 0.819 0.283 0.638
11 Na 0.181 0.717 0.362

Computed properties:
final energy = -1.760 eV/atom
N(E_F) = 16.5 states/eV/cell

---

Ordered magnetic moment results: 0.00 0.00 0.00 0.00; unit Bohr magnetons per cell.